Material: Ta4FeS8
Method: DFT, PBEsol
State: relaxed

a = 6.533 Å, b = 6.533 Å, c = 11.494 Å
α = 90.00°, β = 90.00°, γ = 120.00°
Positions (direct):
Ta 0.000 0.000 0.250
Ta 0.000 0.000 0.750
Ta 0.012 0.506 0.250
Ta 0.494 0.506 0.250
Ta 0.494 0.988 0.250
Ta 0.506 0.012 0.750
Ta 0.506 0.494 0.750
Ta 0.988 0.494 0.750
Fe 0.000 0.000 0.000
Fe 0.000 0.000 0.500
S 0.165 0.331 0.614
S 0.165 0.331 0.886
S 0.165 0.835 0.614
S 0.165 0.835 0.886
S 0.331 0.165 0.114
S 0.331 0.165 0.386
S 0.333 0.667 0.109
S 0.333 0.667 0.391
S 0.667 0.333 0.609
S 0.667 0.333 0.891
S 0.669 0.835 0.614
S 0.669 0.835 0.886
S 0.835 0.165 0.114
S 0.835 0.165 0.386
S 0.835 0.669 0.114
S 0.835 0.669 0.386

Properties
Its spin magnetization is 0.00 μB/f.u. The electronic total energy is -108.8 eV per formula unit.

***

Material: Fe2TeS2
Method: DFT, PBEsol
State: relaxed

a = 8.809 Å, b = 8.809 Å, c = 8.809 Å
α = 157.73°, β = 157.73°, γ = 31.70°
Positions (direct):
Fe 0.250 0.750 0.500
Fe 0.750 0.250 0.500
Te 0.000 0.000 0.000
S 0.326 0.326 0.000
S 0.674 0.674 0.000

Properties
Its spin magnetization is 0.00 μB/f.u. The electronic total energy is -31.9 eV per formula unit.

***

- Which of these has the highest electronic total energy?
  Fe2TeS2

***

- Among the records above, which one has the highest electronic total energy?
  Fe2TeS2

***

- electronic total energy of number 2 (Fe2TeS2)?
  -31.9 eV per formula unit